Record 1
A relaxed structure of Pt2PbN, computed with PBE.

Relative energy among the computed polymorphs = 0 kJ/mol of formula units
E_form (uncorrected) = 1.1 eV per formula unit
Space group = I-42d
D(E_F) = 9.58 states/eV/cell

Structure (POSCAR):
```
Pt2PbN
1.0
5.067 0.000 0.000
0.000 5.067 0.000
0.000 0.000 12.410
Pt Pb N
8 4 4
direct
0.072 0.250 0.125
0.250 0.572 0.375
0.250 0.928 0.875
0.428 0.250 0.625
0.572 0.750 0.625
0.750 0.072 0.875
0.750 0.428 0.375
0.928 0.750 0.125
0.000 0.000 0.500
0.000 0.500 0.750
0.500 0.000 0.250
0.500 0.500 0.000
0.000 0.000 0.000
0.000 0.500 0.250
0.500 0.000 0.750
0.500 0.500 0.500
```

=====

Record 2
A relaxed structure of PtPbN3, computed with PBE.

E_form (uncorrected) = 13.7 eV per formula unit
Space group = Pm-3m
D(E_F) = 2.67 states/eV/cell

Structure (POSCAR):
```
PtPbN3
1.0
4.303 0.000 0.000
0.000 4.303 0.000
0.000 0.000 4.303
Pt Pb N
1 1 3
direct
0.000 0.000 0.000
0.500 0.500 0.500
0.000 0.500 0.500
0.500 0.000 0.500
0.500 0.500 0.000
```

=====

Record 3
A relaxed structure of PtPbN2, computed with PBE.

E_form (uncorrected) = 3.7 eV per formula unit
Space group = I-42d
D(E_F) = 5.25 states/eV/cell

Structure (POSCAR):
```
PtPbN2
1.0
5.151 0.000 0.000
0.000 5.151 0.000
0.000 0.000 10.357
Pt Pb N
4 4 8
direct
0.000 0.000 0.000
0.000 0.500 0.250
0.500 0.000 0.750
0.500 0.500 0.500
0.000 0.000 0.500
0.000 0.500 0.750
0.500 0.000 0.250
0.500 0.500 0.000
0.175 0.250 0.125
0.250 0.675 0.375
0.250 0.825 0.875
0.325 0.250 0.625
0.675 0.750 0.625
0.750 0.175 0.875
0.750 0.325 0.375
0.825 0.750 0.125
```

=====

Record 4
A relaxed structure of Pt2PbN, computed with PBE.

Relative energy among the computed polymorphs = 346 kJ/mol of formula units
E_form (uncorrected) = 4.7 eV per formula unit
Space group = Fm-3m
D(E_F) = 11.54 states/eV/cell

Structure (POSCAR):
```
Pt2PbN
1.0
6.386 0.000 0.000
0.000 6.386 0.000
0.000 0.000 6.386
Pt Pb N
8 4 4
direct
0.250 0.250 0.250
0.250 0.250 0.750
0.250 0.750 0.250
0.250 0.750 0.750
0.750 0.250 0.250
0.750 0.250 0.750
0.750 0.750 0.250
0.750 0.750 0.750
0.000 0.000 0.000
0.000 0.500 0.500
0.500 0.000 0.500
0.500 0.500 0.000
0.000 0.000 0.500
0.000 0.500 0.000
0.500 0.000 0.000
0.500 0.500 0.500
```

=====

Record 5
A relaxed structure of PtPbN2, computed with PBE.

E_form (uncorrected) = 3.9 eV per formula unit
Space group = R-3m
D(E_F) = 8.10 states/eV/cell

Structure (POSCAR):
```
PtPbN2
1.0
3.451 0.000 0.000
-1.725 2.988 0.000
0.000 0.000 19.044
Pt Pb N
3 3 6
direct
0.000 0.000 0.000
0.333 0.667 0.667
0.667 0.333 0.333
0.000 0.000 0.500
0.333 0.667 0.167
0.667 0.333 0.833
0.000 0.000 0.100
0.000 0.000 0.900
0.333 0.667 0.567
0.333 0.667 0.767
0.667 0.333 0.233
0.667 0.333 0.433
```

=====

Record 6
A relaxed structure of PtPbN2, computed with PBE.

E_form (uncorrected) = 3.1 eV per formula unit
Space group = R-3m
D(E_F) = 6.60 states/eV/cell

Structure (POSCAR):
```
PtPbN2
1.0
3.269 0.000 0.000
-1.635 2.831 0.000
0.000 0.000 19.903
Pt Pb N
3 3 6
direct
0.000 0.000 0.000
0.333 0.667 0.667
0.667 0.333 0.333
0.000 0.000 0.500
0.333 0.667 0.167
0.667 0.333 0.833
0.000 0.000 0.379
0.000 0.000 0.621
0.333 0.667 0.046
0.333 0.667 0.287
0.667 0.333 0.713
0.667 0.333 0.954
```

=====

Record 7
A relaxed structure of PtPb3N, computed with PBE.

Relative energy among the computed polymorphs = 263 kJ/mol of formula units
E_form (uncorrected) = 5.8 eV per formula unit
Space group = Pm-3m
D(E_F) = 3.10 states/eV/cell

Structure (POSCAR):
```
PtPb3N
1.0
5.333 0.000 0.000
0.000 5.333 0.000
0.000 0.000 5.333
Pt Pb N
1 3 1
direct
0.000 0.000 0.000
0.000 0.000 0.500
0.000 0.500 0.000
0.500 0.000 0.000
0.500 0.500 0.500
```

=====

Record 8
A relaxed structure of PtPb3N, computed with PBE.

Relative energy among the computed polymorphs = 0 kJ/mol of formula units
E_form (uncorrected) = 3.0 eV per formula unit
Space group = Pm-3m
D(E_F) = 2.79 states/eV/cell

Structure (POSCAR):
```
PtPb3N
1.0
4.899 0.000 0.000
0.000 4.899 0.000
0.000 0.000 4.899
Pt Pb N
1 3 1
direct
0.000 0.000 0.000
0.000 0.500 0.500
0.500 0.000 0.500
0.500 0.500 0.000
0.500 0.500 0.500
```

=====

Record 9
A relaxed structure of PtPbN3, computed with PBE.

E_form (uncorrected) = 7.7 eV per formula unit
Space group = Pm-3m
D(E_F) = 3.95 states/eV/cell

Structure (POSCAR):
```
PtPbN3
1.0
4.028 0.000 0.000
0.000 4.028 0.000
0.000 0.000 4.028
Pt Pb N
1 1 3
direct
0.000 0.000 0.000
0.500 0.500 0.500
0.000 0.000 0.500
0.000 0.500 0.000
0.500 0.000 0.000
```

=====

Record 10
A relaxed structure of Rb2PtPbN, computed with PBE.

E_form (uncorrected) = 0.2 eV per formula unit
Space group = P4/mmm
D(E_F) = 3.18 states/eV/cell

Structure (POSCAR):
```
Rb2PtPbN
1.0
6.689 0.000 0.000
0.000 6.689 0.000
0.000 0.000 3.700
Rb Pt Pb N
2 1 1 1
direct
0.000 0.500 0.000
0.500 0.000 0.000
0.000 0.000 0.500
0.500 0.500 0.500
0.000 0.000 0.000
```

=====

Record 11
A relaxed structure of SbPtPb2N, computed with PBE.

E_form (uncorrected) = 1.3 eV per formula unit
Space group = P4/mmm
D(E_F) = 4.81 states/eV/cell

Structure (POSCAR):
```
SbPtPb2N
1.0
5.698 0.000 0.000
0.000 5.698 0.000
0.000 0.000 3.758
Sb Pt Pb N
1 1 2 1
direct
0.000 0.000 0.000
0.500 0.500 0.000
0.000 0.500 0.500
0.500 0.000 0.500
0.500 0.500 0.500
```

=====

Record 12
A relaxed structure of PtPbSe2N, computed with PBE.

Relative energy among the computed polymorphs = 647 kJ/mol of formula units
E_form (uncorrected) = 8.1 eV per formula unit
Space group = P4/mmm
D(E_F) = 10.37 states/eV/cell

Structure (POSCAR):
```
PtPbSe2N
1.0
5.440 0.000 0.000
0.000 5.440 0.000
0.000 0.000 4.106
Pt Pb Se N
1 1 2 1
direct
0.000 0.000 0.000
0.500 0.500 0.500
0.000 0.500 0.500
0.500 0.000 0.500
0.500 0.500 0.000
```

=====

Record 13
A relaxed structure of PtPbSe2N, computed with PBE.

Relative energy among the computed polymorphs = 0 kJ/mol of formula units
E_form (uncorrected) = 1.4 eV per formula unit
Space group = P4/mmm
D(E_F) = 5.05 states/eV/cell

Structure (POSCAR):
```
PtPbSe2N
1.0
5.511 0.000 0.000
0.000 5.511 0.000
0.000 0.000 3.773
Pt Pb Se N
1 1 2 1
direct
0.000 0.000 0.000
0.500 0.500 0.500
0.000 0.500 0.000
0.500 0.000 0.000
0.000 0.000 0.500
```

=====

Record 14
A relaxed structure of Sr6PtPb2N, computed with PBE.

E_form (uncorrected) = -5.6 eV per formula unit
Space group = R-3m
D(E_F) = 18.61 states/eV/cell

Structure (POSCAR):
```
Sr6PtPb2N
1.0
3.877 2.239 13.091
-3.877 2.239 13.091
0.000 -4.477 13.091
Sr Pt Pb N
12 2 4 2
direct
0.137 0.625 0.625
0.195 0.195 0.726
0.195 0.726 0.195
0.274 0.805 0.805
0.375 0.375 0.863
0.375 0.863 0.375
0.625 0.137 0.625
0.625 0.625 0.137
0.726 0.195 0.195
0.805 0.274 0.805
0.805 0.805 0.274
0.863 0.375 0.375
0.413 0.413 0.413
0.587 0.587 0.587
0.125 0.125 0.125
0.291 0.291 0.291
0.709 0.709 0.709
0.875 0.875 0.875
0.000 0.000 0.000
0.500 0.500 0.500
```

=====

Record 15
A relaxed structure of Th4PtPb2N2, computed with PBE.

E_form (uncorrected) = -9.4 eV per formula unit
Space group = C2/m
D(E_F) = 7.00 states/eV/cell

Structure (POSCAR):
```
Th4PtPb2N2
1.0
8.075 -2.004 0.000
8.075 2.004 0.000
-2.727 0.000 7.351
Th Pt Pb N
4 1 2 2
direct
0.040 0.040 0.277
0.290 0.290 0.346
0.710 0.710 0.654
0.960 0.960 0.723
0.500 0.500 0.500
0.366 0.366 0.979
0.634 0.634 0.021
0.181 0.181 0.486
0.819 0.819 0.514
```

=====

Record 16
A relaxed structure of PuPbN, computed with PBE.

Relative energy among the computed polymorphs = 63 kJ/mol of formula units
E_form (uncorrected) = -1.4 eV per formula unit
Space group = I4mm
D(E_F) = 15.43 states/eV/cell

Structure (POSCAR):
```
PuPbN
1.0
3.345 0.000 0.000
0.000 3.345 0.000
0.000 0.000 12.119
Pu Pb N
2 2 2
direct
0.000 0.000 0.000
0.500 0.500 0.500
0.000 0.000 0.283
0.500 0.500 0.783
0.000 0.000 0.497
0.500 0.500 0.997
```

=====

Record 17
A relaxed structure of PuPbN, computed with PBE.

Relative energy among the computed polymorphs = 0 kJ/mol of formula units
E_form (uncorrected) = -2.0 eV per formula unit
Space group = Cmcm
D(E_F) = 29.29 states/eV/cell

Structure (POSCAR):
```
PuPbN
1.0
3.901 0.000 0.000
0.000 20.632 0.000
0.000 0.000 3.872
Pu Pb N
4 4 4
direct
0.000 0.198 0.250
0.000 0.802 0.750
0.500 0.302 0.750
0.500 0.698 0.250
0.000 0.439 0.750
0.000 0.561 0.250
0.500 0.061 0.250
0.500 0.939 0.750
0.000 0.251 0.750
0.000 0.749 0.250
0.500 0.249 0.250
0.500 0.751 0.750
```

=====

Record 18
A relaxed structure of Pu4Pb2N, computed with PBE.

E_form (uncorrected) = -2.6 eV per formula unit
Space group = I4/mmm
D(E_F) = 64.20 states/eV/cell

Structure (POSCAR):
```
Pu4Pb2N
1.0
4.790 0.000 0.000
0.000 4.790 0.000
0.000 0.000 16.261
Pu Pb N
8 4 2
direct
0.000 0.000 0.155
0.000 0.000 0.845
0.000 0.500 0.000
0.000 0.500 0.500
0.500 0.000 0.000
0.500 0.000 0.500
0.500 0.500 0.345
0.500 0.500 0.655
0.000 0.000 0.357
0.000 0.000 0.643
0.500 0.500 0.143
0.500 0.500 0.857
0.000 0.000 0.000
0.500 0.500 0.500
```

=====

Record 19
A relaxed structure of PuPbN, computed with PBE.

Relative energy among the computed polymorphs = 61 kJ/mol of formula units
E_form (uncorrected) = -1.4 eV per formula unit
Space group = P-6m2
D(E_F) = 8.59 states/eV/cell

Structure (POSCAR):
```
PuPbN
1.0
3.726 0.000 0.000
-1.863 3.227 0.000
0.000 0.000 5.615
Pu Pb N
1 1 1
direct
0.000 0.000 0.000
0.667 0.333 0.500
0.333 0.667 0.000
```

=====

Record 20
A relaxed structure of PuPbN2, computed with PBE.

E_form (uncorrected) = -1.8 eV per formula unit
Space group = R-3m
D(E_F) = 15.98 states/eV/cell

Structure (POSCAR):
```
PuPbN2
1.0
3.551 0.000 0.000
-1.775 3.075 0.000
0.000 0.000 18.251
Pu Pb N
3 3 6
direct
0.000 0.000 0.000
0.333 0.667 0.667
0.667 0.333 0.333
0.000 0.000 0.500
0.333 0.667 0.167
0.667 0.333 0.833
0.000 0.000 0.275
0.000 0.000 0.725
0.333 0.667 0.391
0.333 0.667 0.942
0.667 0.333 0.058
0.667 0.333 0.609
```